Material: Na3Ho3InSe8
Method: DFT, PBE-GGA
State: optimized geometry

It has space group C2/m (No. 12), with a = 14.0791 Å, b = 8.1301 Å, c = 8.5503 Å, α = 90.00°, β = 123.30° and γ = 90.00°. The distinct sites, in fractional coordinates, are Na at (0.0000, 0.0000, 0.0000), Na at (0.2500, 0.2500, 0.0000), Ho at (0.0000, 0.5000, 0.5000), Ho at (0.2500, 0.2500, 0.5000), In at (0.0000, 0.0000, 0.5000), Se at (0.0066, 0.2476, 0.2743), Se at (0.2396, 0.0000, 0.7257) and Se at (0.2432, 0.5000, 0.7283).

For the formation energy without anion corrections, the calculation gives -2001 kJ/mol of formula units. As for the total DFT energy (no corrections): -4.603 eV/atom. The magnetization comes out at 0.0 Bohr magnetons per cell.